(1)
This record from Alexandria describes an optimized crystal structure of BaAgSe2. The functional is PBE.

Cell lengths 6.679, 6.679, 4.421 Å; angles 71.64, 71.64, 38.74 degrees
Fractional coordinates of all 4 atoms:
Se 0.939 0.939 0.407
Se 0.687 0.687 0.708
Ba 0.312 0.312 0.060
Ag 0.562 0.562 0.325

Output
Energy relative to the elements, uncorrected ... -21.58 kcal/mol of atoms
SG ... Cm
Total DFT energy (no corrections) ... -3.871 eV/atom

(2)
This record from Alexandria describes an optimized crystal structure of Ba2AgSe. The functional is PBE.

Cell lengths 8.630, 8.630, 7.659 Å; angles 55.71, 55.71, 90.00 degrees
Fractional coordinates of all 8 atoms:
Ba 0.875 0.856 0.750
Ba 0.144 0.625 0.250
Ba 0.375 0.394 0.750
Ba 0.606 0.125 0.250
Se 0.250 0.750 0.500
Se 0.500 0.500 0.000
Ag 0.750 0.250 0.500
Ag 0.000 0.000 0.000

Output
Energy relative to the elements, uncorrected ... -19.83 kcal/mol of atoms
SG ... I-42d
Total DFT energy (no corrections) ... -3.405 eV/atom

(3)
This record from Alexandria describes an optimized crystal structure of Ba2AgSe. The functional is PBE.

Cell lengths 8.863, 8.863, 8.863 Å; angles 152.10, 151.18, 40.54 degrees
Fractional coordinates of all 4 atoms:
Ag 0.296 0.796 0.500
Ba 0.964 0.964 0.000
Ba 0.697 0.197 0.500
Se 0.542 0.542 0.000

Output
Energy relative to the elements, uncorrected ... -22.02 kcal/mol of atoms
SG ... Imm2
Total DFT energy (no corrections) ... -3.500 eV/atom

(4)
This record from Alexandria describes an optimized crystal structure of BaAg3Se. The functional is PBE.

Cell lengths 5.270, 5.270, 5.270 Å; angles 90.00, 90.00, 90.00 degrees
Fractional coordinates of all 5 atoms:
Se 0.000 0.000 0.000
Ag 0.000 0.500 0.000
Ag 0.000 0.000 0.500
Ag 0.500 0.000 0.000
Ba 0.500 0.500 0.500

Output
Energy relative to the elements, uncorrected ... -0.01 kcal/mol of atoms
SG ... Pm-3m
Excess energy over the best structure of this formula in the dataset ... 0.0 meV per atom
Total DFT energy (no corrections) ... -2.792 eV/atom